[1]
The following is a DFT calculation (PBE) of VHgH after structural relaxation.

```
VHgH
1.0
5.889 0.000 0.000
0.000 5.889 0.000
0.000 0.000 5.889
V Hg H
4 4 4
Cartesian
0.000 0.000 0.000 V
0.000 2.944 2.944 V
2.944 0.000 2.944 V
2.944 2.944 0.000 V
1.472 1.472 4.417 Hg
1.472 4.417 1.472 Hg
4.417 1.472 1.472 Hg
4.417 4.417 4.417 Hg
0.000 0.000 2.944 H
0.000 2.944 0.000 H
2.944 0.000 0.000 H
2.944 2.944 2.944 H
```

Properties
The symmetry is F-43m, No. 216. The value obtained for the relative energy among the computed polymorphs is 1462 meV/atom. The density of states at the Fermi level is 10.1 states/eV per cell. The calculation puts the mass density at 8.214 g cm⁻³.

---

[2]
The following is a DFT calculation (PBE) of Tb8Y6Tm after structural relaxation.

```
Tb8Y6Tm
1.0
9.895 0.000 0.000
-4.947 8.569 0.000
0.000 0.000 5.784
Tb Y Tm
8 6 1
Cartesian
-2.165 5.331 1.519 Tb
0.000 5.713 4.461 Tb
1.413 4.029 1.519 Tb
4.196 0.791 4.265 Tb
0.752 7.779 1.519 Tb
3.534 4.540 4.265 Tb
4.947 2.856 1.323 Tb
7.112 3.239 4.265 Tb
-3.337 6.663 4.479 Y
0.846 2.348 4.479 Y
2.456 0.442 1.304 Y
2.491 8.128 4.479 Y
4.102 6.221 1.304 Y
8.284 1.906 1.304 Y
0.000 0.000 2.892 Tm
```

Properties
The value obtained for the formation energy is 0.1735 eV per atom. The symmetry is P-3, No. 147. The value obtained for the relative energy among the computed polymorphs is 55 meV/atom. The density of states at the Fermi level is 24.2 states/eV per cell. The calculation puts the mass density at 6.683 g cm⁻³.

---

[3]
The following is a DFT calculation (PBE) of Th8Si3TcSe4 after structural relaxation.

```
Th8Si3TcSe4
1.0
4.242 2.449 6.984
-4.242 2.449 6.984
0.000 -4.898 6.984
Th Si Tc Se
8 3 1 4
Cartesian
0.000 0.000 5.130 Th
-2.051 -1.184 12.059 Th
0.000 -2.368 8.893 Th
-2.051 1.184 8.893 Th
2.051 -1.184 12.059 Th
0.000 2.368 12.059 Th
2.051 1.184 8.893 Th
0.000 0.000 15.822 Th
-4.242 0.000 10.476 Si
-2.121 1.225 3.492 Si
2.121 1.225 3.492 Si
0.000 0.000 10.476 Tc
0.000 0.000 0.000 Se
-2.121 -1.225 6.984 Se
-2.121 1.225 13.968 Se
0.000 2.449 6.984 Se
```

Properties
The calculation puts the electronic total energy at -117.2 eV per cell. The symmetry is R-3m, No. 166. The density of states at the Fermi level is 10.2 states/eV per cell. The calculation puts the mass density at 8.980 g cm⁻³.

---

[4]
The following is a DFT calculation (PBE) of Hg2BiPb after structural relaxation.

```
Hg2BiPb
1.0
8.542 0.000 0.000
0.000 8.542 0.000
0.000 0.000 6.570
Hg Bi Pb
8 4 4
Cartesian
2.090 6.406 0.821 Hg
2.135 2.090 5.749 Hg
2.135 2.181 2.464 Hg
2.181 6.406 4.106 Hg
6.361 2.135 4.106 Hg
6.406 6.361 2.464 Hg
6.406 6.451 5.749 Hg
6.451 2.135 0.821 Hg
0.000 0.000 0.000 Bi
0.000 4.271 1.642 Bi
4.271 0.000 4.927 Bi
4.271 4.271 3.285 Bi
0.000 0.000 3.285 Pb
0.000 4.271 4.927 Pb
4.271 0.000 1.642 Pb
4.271 4.271 0.000 Pb
```

Properties
The value obtained for the formation energy is 0.1077 eV per atom. The symmetry is I-42d, No. 122. The density of states at the Fermi level is 10.7 states/eV per cell. The calculation puts the mass density at 11.326 g cm⁻³.

---

[5]
The following is a DFT calculation (PBE) of AsRuOF2 after structural relaxation.

```
AsRuOF2
1.0
4.305 0.000 0.000
0.000 4.305 0.000
0.000 0.000 3.969
As Ru O F
1 1 1 2
Cartesian
0.000 0.000 0.000 As
2.153 2.153 1.985 Ru
0.000 0.000 1.985 O
0.000 2.153 0.000 F
2.153 0.000 0.000 F
```

Properties
The symmetry is P4/mmm, No. 123. The value obtained for the relative energy among the computed polymorphs is 149 meV/atom. The density of states at the Fermi level is 1.6 states/eV per cell. The calculation puts the mass density at 5.191 g cm⁻³.

---

[6]
The following is a DFT calculation (PBE) of PuZn4Co after structural relaxation.

```
PuZn4Co
1.0
7.647 0.000 0.000
0.000 3.975 0.000
0.000 0.000 6.544
Pu Zn Co
2 8 2
Cartesian
1.912 0.000 0.625 Pu
5.735 0.000 5.919 Pu
0.000 0.000 3.272 Zn
0.388 1.988 5.221 Zn
1.912 1.988 3.004 Zn
3.436 1.988 5.221 Zn
3.824 0.000 3.272 Zn
4.211 1.988 1.323 Zn
5.735 1.988 3.540 Zn
7.259 1.988 1.323 Zn
1.912 0.000 4.752 Co
5.735 0.000 1.792 Co
```

Properties
The value obtained for the formation energy is -0.1088 eV per atom. The symmetry is Pmma, No. 51. The value obtained for the relative energy among the computed polymorphs is 0 meV/atom. The density of states at the Fermi level is 23.2 states/eV per cell. The calculation puts the mass density at 9.425 g cm⁻³.